1.
{"formula": "GdTmBeAu", "functional": "PBE-GGA", "state": "relaxed", "formation_enthalpy_0k_ev_per_atom": -0.3319, "m_tot_mub_per_atom": 1.785, "volume_a3_per_atom": 21.928, "cell": [[4.9872, 0.0000, 0.0000], [2.4936, 4.3191, 0.0000], [2.4936, 1.4397, 4.0721]], "species": ["Be", "Gd", "Tm", "Au"], "frac_coords": [[0.5000, 0.5000, 0.5000], [0.7500, 0.7500, 0.7500], [0.2500, 0.2500, 0.2500], [0.0000, 0.0000, 0.0000]]}

---

2.
{"formula": "Sr3Dy3CuTe8", "functional": "PBE-GGA", "state": "relaxed", "m_tot_mub_per_atom": 0.000, "e_form_raw_kj_per_mol_atoms": -123.0, "volume_a3_per_atom": 34.655, "cell": [[9.1021, 0.0000, 0.0000], [-4.5511, 7.5759, 0.0023], [0.0000, -4.9948, 7.5369]], "species": ["Dy", "Dy", "Dy", "Te", "Te", "Te", "Te", "Te", "Te", "Te", "Te", "Cu", "Sr", "Sr", "Sr"], "frac_coords": [[0.0000, 0.5000, 0.5000], [0.5000, 0.0000, 0.5000], [0.5000, 0.5000, 0.5000], [0.2570, 0.9791, 0.7383], [0.2081, 0.4162, 0.6941], [0.7439, 0.4877, 0.7306], [0.2561, 0.5123, 0.2694], [0.2780, 0.0209, 0.2617], [0.7430, 0.0209, 0.2617], [0.7220, 0.9791, 0.7383], [0.7919, 0.5838, 0.3059], [0.0000, 0.0000, 0.5000], [0.0000, 0.5000, 0.0000], [0.5000, 0.5000, 0.0000], [0.0000, 0.0000, 0.0000]]}

---

3.
{"formula": "AsPb2W", "functional": "PBE-GGA", "state": "relaxed", "formation_enthalpy_0k_ev_per_atom": 0.5288, "m_tot_mub_per_atom": 0.000, "volume_a3_per_atom": 23.069, "cell": [[-2.1299, -3.7438, -1.2371], [3.2608, -1.2497, -1.8321], [3.2027, -2.9706, 3.4759]], "species": ["As", "Pb", "Pb", "W"], "frac_coords": [[0.5000, 0.5629, 0.7487], [0.0000, 0.9714, 0.9319], [0.5000, 0.2816, 0.3123], [0.0000, 0.6841, 0.5071]]}

---

4.
{"formula": "HfAs2Se", "functional": "PBE-GGA", "state": "relaxed", "m_tot_mub_per_atom": 0.000, "e_form_raw_kj_per_mol_atoms": 15.6, "volume_a3_per_atom": 28.580, "cell": [[-3.9761, 2.7402, -3.4377], [2.5972, -2.2756, -4.8179], [-4.5833, -4.9691, -3.7701]], "species": ["Hf", "Hf", "As", "As", "As", "As", "Se", "Se"], "frac_coords": [[0.0000, 0.0000, 0.0000], [0.7500, 0.2500, 0.5000], [0.8750, 0.8883, 0.7500], [0.3750, 0.3617, 0.7500], [0.6383, 0.1250, 0.2500], [0.1117, 0.6250, 0.2500], [0.5000, 0.5000, 0.0000], [0.2500, 0.7500, 0.5000]]}